# 1
! RbVGeO4 PBE with a Hubbard U optimized geometry; values from VASP
! - VASP energy (eV/atom) = -6.4502
&SYSTEM
  ibrav = 0, nat = 14, ntyp = 4
/
ATOMIC_SPECIES
Ge 72.64 Ge.upf
O 16.00 O.upf
Rb 85.47 Rb.upf
V 50.94 V.upf
ATOMIC_POSITIONS crystal
Ge 0.7851 0.2500 0.6520
O 0.0286 0.4816 0.6621
O 0.3860 0.7500 0.2130
O 0.0286 0.0184 0.6621
Rb 0.5778 0.7500 0.9025
V 0.2055 0.2500 0.5382
Ge 0.2149 0.7500 0.3480
Rb 0.4222 0.2500 0.0975
O 0.4687 0.2500 0.4349
O 0.5313 0.7500 0.5651
V 0.7945 0.7500 0.4618
O 0.6140 0.2500 0.7870
O 0.9714 0.5184 0.3379
O 0.9714 0.9816 0.3379
CELL_PARAMETERS angstrom
-4.0318 -1.0226 3.3889
-2.0941 -3.7159 -3.6126
7.0258 -4.4859 0.5416

# 2
! FeRhO2 PBE with a Hubbard U optimized geometry; values from VASP
! - VASP energy (eV/atom) = -5.8247
&SYSTEM
  ibrav = 0, nat = 4, ntyp = 3
/
ATOMIC_SPECIES
O 16.00 O.upf
Fe 55.84 Fe.upf
Rh 102.91 Rh.upf
ATOMIC_POSITIONS crystal
O 0.2500 0.2500 0.2500
O 0.7500 0.7500 0.7500
Fe 0.0000 0.0000 0.0000
Rh 0.5000 0.5000 0.5000
CELL_PARAMETERS angstrom
0.0000 2.7320 2.7320
2.7320 0.0000 2.7320
2.7320 2.7320 0.0000